Record 1
Pr6AgPb: optimized geometry, GGA-PBE.

a b c (Å): 5.323 5.323 9.995
angles (deg): 74.56 74.56 89.98
Positions (direct):
Pr 0.750 0.750 0.499
Pb 0.500 0.500 0.000
Ag 0.000 0.000 0.000
Pr 0.111 0.611 0.779
Pr 0.250 0.250 0.501
Pr 0.611 0.111 0.779
Pr 0.889 0.389 0.221
Pr 0.389 0.889 0.221

**Total DFT energy (no corrections)**: -36.667 eV/f.u.
**Size of the total moment**: 0.0000 μB per atom

***

Record 2
Dy4Tm2Hg: optimized geometry, GGA-PBE.

a b c (Å): 3.498 8.380 8.303
angles (deg): 116.95 102.16 90.00
Positions (direct):
Dy 0.918 0.297 0.835
Dy 0.082 0.703 0.165
Tm 0.784 0.861 0.567
Dy 0.631 0.392 0.262
Hg 0.000 0.000 0.000
Dy 0.369 0.608 0.738
Tm 0.216 0.139 0.433

**Total DFT energy (no corrections)**: -27.679 eV/f.u.
**Size of the total moment**: 0.0000 μB per atom

***

Record 3
Nd4MgAu2: optimized geometry, GGA-PBE.

a b c (Å): 5.244 5.244 9.474
angles (deg): 73.93 73.93 60.00
Positions (direct):
Nd 0.710 0.710 0.869
Mg 0.500 0.500 0.500
Au 0.401 0.401 0.798
Nd 0.880 0.880 0.361
Nd 0.120 0.120 0.639
Nd 0.290 0.290 0.131
Au 0.599 0.599 0.202

**Total DFT energy (no corrections)**: -29.517 eV/f.u.
**Size of the total moment**: 0.0002 μB per atom

***

Record 4
Ag2MoRh: optimized geometry, GGA-PBE.

a b c (Å): 3.956 2.801 6.527
angles (deg): 64.57 90.00 90.00
Positions (direct):
Mo 0.000 0.471 0.529
Ag 0.500 0.252 0.248
Ag 0.000 0.998 0.002
Rh 0.500 0.779 0.721

**Total DFT energy (no corrections)**: -22.904 eV/f.u.
**Size of the total moment**: 0.0002 μB per atom
**Excess energy over the best structure of this formula in the dataset**: 127.5 meV/atom

***

Number 1: energy relative to the elements -0.179 eV/atom, theoretical density 7.345 g/cm3. Number 2: energy relative to the elements -0.004 eV/atom, theoretical density 9.363 g/cm3. Number 3: energy relative to the elements -0.328 eV/atom, theoretical density 7.730 g/cm3. Number 4: energy relative to the elements 0.245 eV/atom, theoretical density 10.539 g/cm3.